1.
Compound: TaReSnS2
Source: Alexandria via LeMat-Bulk
Functional: PBE
Structure: optimized geometry

SG = P4/mmm, No. 123
Final energy = -5.404 eV per atom
Formation energy from raw total energies = 1.907 eV per atom

a b c (Å): 4.765 4.765 5.243
angles (deg): 90.00 90.00 90.00
Sites, in units of the cell vectors:
Ta  0.000  0.000  0.000
Re  0.500  0.500  0.000
Sn  0.500  0.500  0.500
S  0.000  0.500  0.500
S  0.500  0.000  0.500

2.
Compound: CaSiHg4
Source: Alexandria via LeMat-Bulk
Functional: PBE
Structure: optimized geometry

SG = F-43m, No. 216
Final energy = -1.319 eV per atom
Formation energy from raw total energies = 0.120 eV per atom

a b c (Å): 5.972 5.972 5.972
angles (deg): 60.00 60.00 60.00
Sites, in units of the cell vectors:
Ca  0.000  0.000  0.000
Si  0.250  0.250  0.250
Hg  0.126  0.625  0.625
Hg  0.625  0.126  0.625
Hg  0.625  0.625  0.126
Hg  0.625  0.625  0.625

Number 1 is which compound? TaReSnS2